Entry from Alexandria: a PBEsol-optimized structure of HgPWSe2 (SCAN).

Results
As for the uncorrected formation energy: 1.36 eV per atom. The space group is P4/mmm (123). The calculation puts the density at 8.6 g/cm3. Its volume is 22.04 A^3/atom. For the final energy, the calculation gives -36.32 eV/atom.

Cell: 4.729 4.827 4.827 Å, 90.00 90.00 90.00°
Site moments in Bohr magnetons follow the coordinates.
Element x y z (fractional)
P  0.000  0.000  0.000  -0.05
Se  0.000  0.000  0.500  -0.12
Se  0.000  0.500  0.000  -0.12
Hg  0.500  0.000  0.000  0.05
W  0.500  0.500  0.500  3.18